First-principles (PBE) data for a geometry-optimized Mg2CoRe structure, as listed in Alexandria via LeMat-Bulk.

Structure (CIF):
```
data_Mg2CoRe
_chemical_formula_sum 'Mg2 Co1 Re1'
_cell_length_a 2.829
_cell_length_b 2.829
_cell_length_c 8.006
_cell_angle_alpha 90.00
_cell_angle_beta 90.00
_cell_angle_gamma 90.00
_symmetry_space_group_name_H-M 'P 4 m m'
_symmetry_Int_Tables_number 99
_symmetry_space_group_name_Hall 'P 4 -2'
loop_
_atom_site_label
_atom_site_fract_x
_atom_site_fract_y
_atom_site_fract_z
Mg1 0.000 0.000 0.000
Mg2 0.500 0.500 0.329
Co1 0.500 0.500 0.774
Re1 0.000 0.000 0.589
```

Properties
For the formation enthalpy at 0 K, the calculation gives 0.094 eV per atom. The calculation puts the volume at 64.07 Å³ per cell. Its total energy is -5.592 eV per atom.